Material: BaFe3Ag
Method: DFT, PBE-GGA
State: optimized geometry

Cell lengths 4.9542, 4.9542, 4.9542 Å; angles 90.00, 90.00, 90.00 degrees
With the nearest neighbours (Å) after each atom.
Space group Pm-3m (No. 221)
Unique sites:
Ba1 0.0000 0.0000 0.0000 x1  12 Fe 3.50
Fe1 0.0000 0.5000 0.5000 x3  2 Ag 2.48
Ag1 0.5000 0.5000 0.5000 x1  6 Fe 2.48

Results
- ΔE_f: 1.106 eV per atom
- N(E_F): 10.4 states/eV/cell
- Volume: 121.6 Å³ per cell
- ΔE to the lowest computed polymorph: 0.00 kJ per mole of atoms
- Electronic total energy: -4.93 eV per atom